VASP calculation (PBE) on a geometry-optimized LaAlO3 structure.

Cell: 5.007 5.007 5.007 Å, 80.51 80.51 80.51°
Positions (direct):
Al  0.861  0.861  0.861
O  0.111  0.669  0.669
O  0.669  0.111  0.669
O  0.669  0.669  0.111
La  0.565  0.565  0.565

Calculated values
**Energy**: -36.93 eV/cell
**Raw formation energy**: -2.68 eV/atom
**Space-group type**: R3m

=====

VASP calculation (PBE) on a geometry-optimized CeAlNiPt structure.

Cell: 4.290 4.288 5.294 Å, 113.81 90.00 120.02°
Each line ends with the local moment (μB).
Positions (direct):
Al  0.120  0.239  0.001  0.00
Pt  0.406  0.811  0.858  -0.01
Ce  0.617  0.233  0.492  0.25
Ni  0.825  0.649  0.116  -0.02

Calculated values
**Energy**: -24.74 eV/cell
**E_form**: -0.81 eV per atom
**Space-group type**: Cm

=====

Ordered DOS(E_F) results: 0.0 4.9; unit states/eV/cell.